# CsBeSi3 (GGA-PBE, optimized geometry)
# - Crystal system: cubic
# - Energy above the lowest structure with this stoichiometry: 1894 meV/atom
data_CsBeSi3
_symmetry_space_group_name_H-M 'P m -3 m'
_symmetry_Int_Tables_number 221
_symmetry_space_group_name_Hall '-P 4 2 3'
_cell_length_a 5.591
_cell_length_b 5.591
_cell_length_c 5.591
_cell_angle_alpha 90.00
_cell_angle_beta 90.00
_cell_angle_gamma 90.00
loop_
_atom_site_label
_atom_site_type_symbol
_atom_site_fract_x
_atom_site_fract_y
_atom_site_fract_z
Cs1 Cs 0.000 0.000 0.000
Be1 Be 0.500 0.500 0.500
Si1 Si 0.000 0.000 0.500

***

# CsBe3Sn (GGA-PBE, optimized geometry)
# - Crystal system: cubic
# - Energy above the lowest structure with this stoichiometry: 0 meV/atom
# - Formation enthalpy at 0 K: 541 kJ/mol of formula units
data_CsBe3Sn
_symmetry_space_group_name_H-M 'P m -3 m'
_symmetry_Int_Tables_number 221
_symmetry_space_group_name_Hall '-P 4 2 3'
_cell_length_a 5.068
_cell_length_b 5.068
_cell_length_c 5.068
_cell_angle_alpha 90.00
_cell_angle_beta 90.00
_cell_angle_gamma 90.00
loop_
_atom_site_label
_atom_site_type_symbol
_atom_site_fract_x
_atom_site_fract_y
_atom_site_fract_z
Cs1 Cs 0.000 0.000 0.000
Be1 Be 0.000 0.500 0.500
Sn1 Sn 0.500 0.500 0.500

***

# CsBe3Sn (GGA-PBE, optimized geometry)
# - Crystal system: cubic
# - Energy above the lowest structure with this stoichiometry: 1197 meV/atom
# - Formation enthalpy at 0 K: 1119 kJ/mol of formula units
data_CsBe3Sn
_symmetry_space_group_name_H-M 'P m -3 m'
_symmetry_Int_Tables_number 221
_symmetry_space_group_name_Hall '-P 4 2 3'
_cell_length_a 5.142
_cell_length_b 5.142
_cell_length_c 5.142
_cell_angle_alpha 90.00
_cell_angle_beta 90.00
_cell_angle_gamma 90.00
loop_
_atom_site_label
_atom_site_type_symbol
_atom_site_fract_x
_atom_site_fract_y
_atom_site_fract_z
Cs1 Cs 0.000 0.000 0.000
Be1 Be 0.000 0.000 0.500
Sn1 Sn 0.500 0.500 0.500

***

# CsBe2Sn2 (GGA-PBE, optimized geometry)
# - Crystal system: tetragonal
# - Formation enthalpy at 0 K: 140 kJ/mol of formula units
data_CsBe2Sn2
_symmetry_space_group_name_H-M 'I 4/m m m'
_symmetry_Int_Tables_number 139
_symmetry_space_group_name_Hall '-I 4 2'
_cell_length_a 4.551
_cell_length_b 4.551
_cell_length_c 12.029
_cell_angle_alpha 90.00
_cell_angle_beta 90.00
_cell_angle_gamma 90.00
loop_
_atom_site_label
_atom_site_type_symbol
_atom_site_fract_x
_atom_site_fract_y
_atom_site_fract_z
Cs1 Cs 0.000 0.000 0.000
Be1 Be 0.000 0.500 0.250
Sn1 Sn 0.000 0.000 0.356

***

# Cs3BeSn (GGA-PBE, optimized geometry)
# - Crystal system: cubic
# - Formation enthalpy at 0 K: 322 kJ/mol of formula units
data_Cs3BeSn
_symmetry_space_group_name_H-M 'P m -3 m'
_symmetry_Int_Tables_number 221
_symmetry_space_group_name_Hall '-P 4 2 3'
_cell_length_a 6.667
_cell_length_b 6.667
_cell_length_c 6.667
_cell_angle_alpha 90.00
_cell_angle_beta 90.00
_cell_angle_gamma 90.00
loop_
_atom_site_label
_atom_site_type_symbol
_atom_site_fract_x
_atom_site_fract_y
_atom_site_fract_z
Cs1 Cs 0.000 0.000 0.500
Be1 Be 0.000 0.000 0.000
Sn1 Sn 0.500 0.500 0.500

***

# CsSrBe3 (GGA-PBE, optimized geometry)
# - Crystal system: cubic
# - Energy above the lowest structure with this stoichiometry: 0 meV/atom
# - Formation enthalpy at 0 K: 759 kJ/mol of formula units
data_CsSrBe3
_symmetry_space_group_name_H-M 'P m -3 m'
_symmetry_Int_Tables_number 221
_symmetry_space_group_name_Hall '-P 4 2 3'
_cell_length_a 5.998
_cell_length_b 5.998
_cell_length_c 5.998
_cell_angle_alpha 90.00
_cell_angle_beta 90.00
_cell_angle_gamma 90.00
loop_
_atom_site_label
_atom_site_type_symbol
_atom_site_fract_x
_atom_site_fract_y
_atom_site_fract_z
Cs1 Cs 0.000 0.000 0.000
Sr1 Sr 0.500 0.500 0.500
Be1 Be 0.000 0.500 0.500

***

# CsSrBe3 (GGA-PBE, optimized geometry)
# - Crystal system: cubic
# - Energy above the lowest structure with this stoichiometry: 239 meV/atom
# - Formation enthalpy at 0 K: 874 kJ/mol of formula units
data_CsSrBe3
_symmetry_space_group_name_H-M 'P m -3 m'
_symmetry_Int_Tables_number 221
_symmetry_space_group_name_Hall '-P 4 2 3'
_cell_length_a 5.572
_cell_length_b 5.572
_cell_length_c 5.572
_cell_angle_alpha 90.00
_cell_angle_beta 90.00
_cell_angle_gamma 90.00
loop_
_atom_site_label
_atom_site_type_symbol
_atom_site_fract_x
_atom_site_fract_y
_atom_site_fract_z
Cs1 Cs 0.000 0.000 0.000
Sr1 Sr 0.500 0.500 0.500
Be1 Be 0.000 0.000 0.500

***

# CsTaBe3 (GGA-PBE, optimized geometry)
# - Crystal system: cubic
# - Energy above the lowest structure with this stoichiometry: 1306 meV/atom
# - Formation enthalpy at 0 K: 1370 kJ/mol of formula units
data_CsTaBe3
_symmetry_space_group_name_H-M 'P m -3 m'
_symmetry_Int_Tables_number 221
_symmetry_space_group_name_Hall '-P 4 2 3'
_cell_length_a 4.606
_cell_length_b 4.606
_cell_length_c 4.606
_cell_angle_alpha 90.00
_cell_angle_beta 90.00
_cell_angle_gamma 90.00
loop_
_atom_site_label
_atom_site_type_symbol
_atom_site_fract_x
_atom_site_fract_y
_atom_site_fract_z
Cs1 Cs 0.000 0.000 0.000
Ta1 Ta 0.500 0.500 0.500
Be1 Be 0.000 0.000 0.500

***

# CsTaBe3 (GGA-PBE, optimized geometry)
# - Crystal system: cubic
# - Energy above the lowest structure with this stoichiometry: 0 meV/atom
# - Formation enthalpy at 0 K: 740 kJ/mol of formula units
data_CsTaBe3
_symmetry_space_group_name_H-M 'P m -3 m'
_symmetry_Int_Tables_number 221
_symmetry_space_group_name_Hall '-P 4 2 3'
_cell_length_a 5.032
_cell_length_b 5.032
_cell_length_c 5.032
_cell_angle_alpha 90.00
_cell_angle_beta 90.00
_cell_angle_gamma 90.00
loop_
_atom_site_label
_atom_site_type_symbol
_atom_site_fract_x
_atom_site_fract_y
_atom_site_fract_z
Cs1 Cs 0.000 0.000 0.000
Ta1 Ta 0.500 0.500 0.500
Be1 Be 0.000 0.500 0.500

***

# CsTbBeTe3 (GGA-PBE, optimized geometry)
# - Crystal system: monoclinic
# - Electronic total energy: -3.87 eV per atom
data_CsTbBeTe3
_symmetry_space_group_name_H-M 'C 1 2/m 1'
_symmetry_Int_Tables_number 12
_cell_length_a 16.967
_cell_length_b 5.221
_cell_length_c 9.947
_cell_angle_alpha 90.00
_cell_angle_beta 102.83
_cell_angle_gamma 90.00
loop_
_symmetry_equiv_pos_as_xyz
'x,y,z'
'-x,-y,-z'
'-x,y,-z'
'x,-y,z'
'x+1/2,y+1/2,z'
'-x+1/2,-y+1/2,-z'
'-x+1/2,y+1/2,-z'
'x+1/2,-y+1/2,z'
loop_
_atom_site_label
_atom_site_type_symbol
_atom_site_fract_x
_atom_site_fract_y
_atom_site_fract_z
Cs1 Cs 0.144 0.000 0.054
Tb1 Tb 0.147 0.000 0.560
Be1 Be 0.010 0.500 0.302
Te1 Te 0.005 0.000 0.306
Te2 Te 0.140 0.500 0.749
Te3 Te 0.165 0.500 0.358

***

# CsBeTc3 (GGA-PBE, optimized geometry)
# - Crystal system: cubic
# - Energy above the lowest structure with this stoichiometry: 1724 meV/atom
# - Formation enthalpy at 0 K: 1644 kJ/mol of formula units
data_CsBeTc3
_symmetry_space_group_name_H-M 'P m -3 m'
_symmetry_Int_Tables_number 221
_symmetry_space_group_name_Hall '-P 4 2 3'
_cell_length_a 4.894
_cell_length_b 4.894
_cell_length_c 4.894
_cell_angle_alpha 90.00
_cell_angle_beta 90.00
_cell_angle_gamma 90.00
loop_
_atom_site_label
_atom_site_type_symbol
_atom_site_fract_x
_atom_site_fract_y
_atom_site_fract_z
Cs1 Cs 0.000 0.000 0.000
Be1 Be 0.500 0.500 0.500
Tc1 Tc 0.000 0.000 0.500

***

# Cs3BeTc (GGA-PBE, optimized geometry)
# - Crystal system: cubic
# - Formation enthalpy at 0 K: 776 kJ/mol of formula units
data_Cs3BeTc
_symmetry_space_group_name_H-M 'P m -3 m'
_symmetry_Int_Tables_number 221
_symmetry_space_group_name_Hall '-P 4 2 3'
_cell_length_a 6.009
_cell_length_b 6.009
_cell_length_c 6.009
_cell_angle_alpha 90.00
_cell_angle_beta 90.00
_cell_angle_gamma 90.00
loop_
_atom_site_label
_atom_site_type_symbol
_atom_site_fract_x
_atom_site_fract_y
_atom_site_fract_z
Cs1 Cs 0.000 0.000 0.500
Be1 Be 0.500 0.500 0.500
Tc1 Tc 0.000 0.000 0.000

***

| no. | magnetization (μB per atom) |
| --- | --- |
| 1 | 0.000 |
| 2 | 0.000 |
| 3 | 0.000 |
| 4 | 0.000 |
| 5 | 0.222 |
| 6 | 0.000 |
| 7 | 0.000 |
| 8 | 0.000 |
| 9 | 0.556 |
| 10 | 0.000 |
| 11 | 0.874 |
| 12 | 0.001 |